Entry 1:
The following is a PBE calculation of an optimized crystal structure of Ag12Br3O5, from the Alexandria database.

Properties
The crystal system is cubic.

Cell and atoms, written as CIF:
```
data_Ag12Br3O5
_symmetry_space_group_name_H-M 'I a -3 d'
_symmetry_Int_Tables_number 230
_symmetry_space_group_name_Hall '-I 4bd 2c 3'
_cell_length_a 14.850
_cell_length_b 14.850
_cell_length_c 14.850
_cell_angle_alpha 90.00
_cell_angle_beta 90.00
_cell_angle_gamma 90.00
loop_
_atom_site_label
_atom_site_type_symbol
_atom_site_fract_x
_atom_site_fract_y
_atom_site_fract_z
Ag1 Ag 0.051 0.135 0.947
Br1 Br 0.000 0.250 0.125
O1 O 0.000 0.000 0.000
O2 O 0.000 0.250 0.375
```


Entry 2:
The following is a PBE calculation of an optimized crystal structure of AgBrO4, from the Alexandria database.

Properties
The crystal system is monoclinic.

Cell and atoms, written as CIF:
```
data_AgBrO4
_symmetry_space_group_name_H-M 'P 1 2/c 1'
_symmetry_Int_Tables_number 13
_symmetry_space_group_name_Hall '-P 2yc'
_cell_length_a 6.880
_cell_length_b 3.450
_cell_length_c 10.017
_cell_angle_alpha 90.00
_cell_angle_beta 127.88
_cell_angle_gamma 90.00
loop_
_atom_site_label
_atom_site_type_symbol
_atom_site_fract_x
_atom_site_fract_y
_atom_site_fract_z
Ag1 Ag 0.000 0.093 0.250
Br1 Br 0.500 0.500 0.000
O1 O 0.164 0.399 0.923
O2 O 0.347 0.116 0.316
```


Number 1: formation energy from raw total energies -0.176 kcal/mol of atoms. Number 2: formation energy from raw total energies 11.603 kcal/mol of atoms.